Compound: Li4TlCd2Pb
Source: OQMD
Functional: PBE
Structure: relaxed

It has space group P-4m2 (No. 115), with a = 4.816 Å, b = 4.816 Å, c = 6.840 Å, α = 90.00°, β = 90.00° and γ = 90.00°. The asymmetric unit holds Li at (0.000, 0.000, 0.000), Li at (0.000, 0.500, 0.247), Li at (0.500, 0.500, 0.500), Tl at (0.500, 0.500, 0.000), Cd at (0.000, 0.500, 0.758) and Pb at (0.000, 0.000, 0.500).

Its energy is -17.5 eV per cell.

---

Compound: LaDyGa2Ni4
Source: OQMD
Functional: PBE
Structure: relaxed

It has space group P-6m2 (No. 187), with a = 4.1784 Å, b = 4.1784 Å, c = 9.1386 Å, α = 90.00°, β = 90.00° and γ = 120.00°. The asymmetric unit holds La at (0.0000, 0.0000, 0.0000), Dy at (0.3333, 0.6667, 0.5000), Ga at (0.6667, 0.3333, 0.2631), Ni at (0.0000, 0.0000, 0.3159) and Ni at (0.3333, 0.6667, 0.2040).

Its energy is -42.2 eV per cell. For the magnetization, the calculation gives 0.01 μB per cell.

---

Compound: HgTe2Pb
Source: OQMD
Functional: PBE
Structure: relaxed

It has space group F-43m (No. 216), with a = 7.775 Å, b = 7.775 Å, c = 7.775 Å, α = 90.00°, β = 90.00° and γ = 90.00°. The asymmetric unit holds Hg at (0.000, 0.000, 0.000), Te at (0.000, 0.000, 0.500), Te at (0.250, 0.250, 0.750) and Pb at (0.250, 0.250, 0.250).

Its energy is -39.9 eV per cell.